Entry 1:
DFT (PBE-GGA) results for a relaxed CsRbSe2Br crystal.

Unit cell a=5.8909 b=5.8909 c=6.8003 alpha=90.00 beta=90.00 gamma=90.00
Last column: nearest neighbours and their distance in Å.
Space group P4/mmm (No. 123)
Inequivalent atoms, fractional coordinates:
Cs 0.0000 0.0000 0.0000 x1  4 Se 2.95
Rb 0.5000 0.5000 0.5000 x1  4 Br 4.17, 8 Se 4.50
Se 0.0000 0.5000 0.0000 x2  2 Cs 2.95
Br 0.0000 0.0000 0.5000 x1  2 Cs 3.40

The polymorph energy (0 for the lowest one) is 0.60 eV/f.u. As for the formation energy (no corrections): -190 meV/atom.

Entry 2:
DFT (PBE-GGA) results for a relaxed Pm12YEr7 crystal.

Unit cell a=19.6008 b=19.6008 c=6.1829 alpha=90.00 beta=90.00 gamma=120.00
Last column: nearest neighbours and their distance in Å.
Space group R-3 (No. 148, hexagonal axes)
Inequivalent atoms, fractional coordinates:
Pm 0.0003 0.4132 0.0000 x18  2 Er 3.37, 5 Pm 3.40-3.72
Pm 0.0981 0.5494 0.4616 x18  4 Er 3.31-3.59, 1 Pm 3.37
Y 0.0000 0.0000 0.5000 x3  8 Er 3.05-3.09
Er 0.0000 0.0000 0.0000 x3  2 Y 3.09, 6 Er 3.30
Er 0.0810 0.9181 0.2916 x18  1 Y 3.05, 1 Er 3.30, 4 Pm 3.31-3.37

The polymorph energy (0 for the lowest one) is 0.00 eV/f.u. The calculation puts the formation energy at 0.2493 eV/atom.

Entry 3:
DFT (PBE-GGA) results for a relaxed LuMgAgPd crystal.

Unit cell a=6.7801 b=6.7801 c=6.7801 alpha=90.00 beta=90.00 gamma=90.00
Last column: nearest neighbours and their distance in Å.
Space group F-43m (No. 216)
Inequivalent atoms, fractional coordinates:
Lu 0.0000 0.0000 0.0000 x4  4 Pd 2.94, 4 Ag 2.94
Mg 0.0000 0.0000 0.5000 x4  4 Pd 2.94, 4 Ag 2.94
Ag 0.2500 0.2500 0.7500 x4  4 Mg 2.94, 4 Lu 2.94
Pd 0.2500 0.2500 0.2500 x4  4 Mg 2.94, 4 Lu 2.94

The calculation puts the formation energy at -0.5596 eV/atom.